DFT (PBE with a Hubbard U) results for a relaxed Sr3Mn2RuO9 crystal.

SG: P-3m1 (164)
total DFT energy (no corrections): -103.5 eV per cell

Geometry as extended XYZ:
```
15
Lattice="5.593 0.000 0.000 -2.797 4.844 0.000 0.000 0.000 6.871" Properties=species:S:1:pos:R:3 pbc="T T T"
Sr 0.000 3.229 4.611
Sr 0.000 0.000 0.000
Sr 2.797 1.615 2.260
Mn 0.000 3.229 1.076
Mn 2.797 1.615 5.795
Ru 0.000 0.000 3.435
O 4.204 0.802 4.553
O 2.797 3.240 4.553
O 1.389 0.802 4.553
O 1.407 4.042 2.318
O 0.000 1.604 2.318
O -1.407 4.042 2.318
O 2.797 0.000 0.000
O -1.398 2.422 0.000
O 1.398 2.422 0.000
```